1.
Computed, not measured: a geometry-optimized KRbLiH3 structure at the PBE-GGA level of DFT.

Cell and atoms, written as POSCAR:
```
KRbLiH3
1.0
8.194 0.000 0.000
0.000 3.797 0.000
-1.376 0.000 8.328
K Rb Li H
2 2 2 6
Direct
0.176 0.250 0.139
0.824 0.750 0.861
0.198 0.250 0.670
0.802 0.750 0.330
0.401 0.750 0.420
0.599 0.250 0.580
0.163 0.750 0.912
0.175 0.750 0.388
0.479 0.250 0.371
0.521 0.750 0.629
0.825 0.250 0.612
0.837 0.250 0.088
```

Values from the calculation:
- final energy (eV/atom) = -2.558
- SG = No. 11
- V (A^3/atom) = 21.6


2.
Computed, not measured: a geometry-optimized Na2Ag2TeSe4 structure at the PBE-GGA level of DFT.

Cell and atoms, written as POSCAR:
```
Na2Ag2TeSe4
1.0
7.967 -2.086 0.000
7.967 2.086 0.000
-3.527 0.000 6.806
Na Ag Te Se
2 2 1 4
Direct
0.152 0.152 0.055
0.848 0.848 0.945
0.317 0.317 0.538
0.683 0.683 0.462
0.000 0.000 0.500
0.202 0.202 0.717
0.497 0.497 0.237
0.503 0.503 0.763
0.798 0.798 0.283
```

Values from the calculation:
- SG = No. 12
- formation energy (no corrections) (meV per atom) = -389
- V (A^3/atom) = 25.1


3.
Computed, not measured: a geometry-optimized Pr8Dy4Tm3 structure at the PBE-GGA level of DFT.

Cell and atoms, written as POSCAR:
```
Pr8Dy4Tm3
1.0
3.521 2.033 11.979
-3.521 2.033 11.979
0.000 -4.066 11.979
Pr Dy Tm
8 4 3
Direct
0.245 0.245 0.245
0.248 0.750 0.750
0.250 0.250 0.752
0.250 0.752 0.250
0.750 0.248 0.750
0.750 0.750 0.248
0.752 0.250 0.250
0.755 0.755 0.755
0.000 0.000 0.000
0.335 0.335 0.335
0.500 0.500 0.500
0.665 0.665 0.665
0.000 0.000 0.500
0.000 0.500 0.000
0.500 0.000 0.000
```

Values from the calculation:
- energy of formation (eV/atom) = 0.157
- SG = No. 166
- V (A^3/atom) = 34.3


4.
Computed, not measured: a geometry-optimized CaMn3Fe structure at the PBE-GGA level of DFT.

Cell and atoms, written as POSCAR:
```
CaMn3Fe
1.0
4.289 0.000 0.000
0.000 4.289 0.000
0.000 0.000 4.289
Ca Mn Fe
1 3 1
Direct
0.000 0.000 0.000
0.000 0.500 0.500
0.500 0.000 0.500
0.500 0.500 0.000
0.500 0.500 0.500
```

Values from the calculation:
- energy of formation (eV/atom) = 1.015
- SG = No. 221
- V (A^3/atom) = 15.8